Entry 1:
The following is a PBE calculation of a relaxed structure of BaLaNd2Hg4, from Alexandria via LeMat-Bulk.

Cell: 5.5616 5.5616 9.7252 Å, 73.39 73.39 60.00°
Last column: nearest neighbours and their distance in Å.
Positions (direct):
Ba 0.0000 0.0000 0.0000  8 Hg 3.47-3.55
La 0.5000 0.5000 0.5000  8 Hg 3.28-3.38
Nd 0.7513 0.7513 0.7460  8 Hg 3.30-3.65
Nd 0.2487 0.2487 0.2540  8 Hg 3.30-3.65
Hg 0.3811 0.3811 0.8568  1 La 3.28, 4 Nd 3.37-3.65, 3 Ba 3.47
Hg 0.8711 0.8711 0.3867  4 Nd 3.30-3.43, 3 La 3.38, 1 Ba 3.55
Hg 0.1289 0.1289 0.6133  4 Nd 3.30-3.43, 3 La 3.38, 1 Ba 3.55
Hg 0.6189 0.6189 0.1432  1 La 3.28, 4 Nd 3.37-3.65, 3 Ba 3.47

Output
As for the energy of formation: -444 meV/atom.



Entry 2:
The following is a PBE calculation of a relaxed structure of Ti2VCl, from Alexandria via LeMat-Bulk.

Cell: 5.1644 5.1644 7.1362 Å, 68.79 68.79 90.00°
Last column: nearest neighbours and their distance in Å.
Positions (direct):
V 0.0000 0.0000 0.0000  4 Ti 2.29
V 0.7500 0.2500 0.5000  4 Ti 2.29
Ti 0.6616 0.1250 0.2500  2 V 2.29, 2 Cl 2.49
Ti 0.0884 0.6250 0.2500  2 V 2.29, 2 Cl 2.49
Ti 0.3750 0.3384 0.7500  2 V 2.29, 2 Cl 2.49
Ti 0.8750 0.9116 0.7500  2 V 2.29, 2 Cl 2.49
Cl 0.5000 0.5000 0.0000  4 Ti 2.49
Cl 0.2500 0.7500 0.5000  4 Ti 2.49

Output
The value obtained for the relative energy among the computed polymorphs is 307 meV/atom.



Entry 3:
The following is a PBE calculation of a relaxed structure of BeTcF2, from Alexandria via LeMat-Bulk.

Cell: 3.9364 3.9364 3.9364 Å, 60.00 60.00 60.00°
Last column: nearest neighbours and their distance in Å.
Positions (direct):
Be 0.0000 0.0000 0.0000  8 F 2.41
Tc 0.5000 0.5000 0.5000  8 F 2.41
F 0.2500 0.2500 0.2500  4 Tc 2.41, 4 Be 2.41
F 0.7500 0.7500 0.7500  4 Tc 2.41, 4 Be 2.41

Output
The value obtained for the relative energy among the computed polymorphs is 1595 meV/atom.



Entry 4:
The following is a PBE calculation of a relaxed structure of TlNiBr2, from Alexandria via LeMat-Bulk.

Cell: 4.0662 4.0662 8.8147 Å, 90.00 90.00 126.66°
Last column: nearest neighbours and their distance in Å.
Positions (direct):
Br 0.0000 0.0000 0.0627  2 Ni 2.46
Br 0.0000 0.0000 0.4373  2 Ni 2.46
Ni 0.5000 0.5000 0.2500  4 Br 2.46
Tl 0.5000 0.5000 0.7500  4 Br 3.31, 2 Tl 3.65

Output
The value obtained for the relative energy among the computed polymorphs is 144 meV/atom.



Entry 5:
The following is a PBE calculation of a relaxed structure of CdSeO2, from Alexandria via LeMat-Bulk.

Cell: 6.6427 6.6427 6.6427 Å, 28.70 28.70 28.70°
Last column: nearest neighbours and their distance in Å.
Positions (direct):
O 0.9005 0.9005 0.9005  1 Se 1.90
O 0.0995 0.0995 0.0995  1 Se 1.90
Se 0.0000 0.0000 0.0000  2 O 1.90
Cd 0.5000 0.5000 0.5000  6 O 2.29

Output
The value obtained for the relative energy among the computed polymorphs is 0 meV/atom.



Entry 6:
The following is a PBE calculation of a relaxed structure of Ac12Tb6Nd, from Alexandria via LeMat-Bulk.

Cell: 9.8464 9.8464 9.8464 Å, 106.53 106.53 106.53°
Last column: nearest neighbours and their distance in Å.
Positions (direct):
Ac 0.4799 0.1910 0.5780  4 Tb 3.63-3.99, 6 Ac 3.69-3.82
Ac 0.1910 0.5780 0.4799  4 Tb 3.63-3.99, 6 Ac 3.69-3.82
Ac 0.5780 0.4799 0.1910  4 Tb 3.63-3.99, 6 Ac 3.69-3.82
Ac 0.5201 0.8090 0.4220  4 Tb 3.63-3.99, 6 Ac 3.69-3.82
Ac 0.8090 0.4220 0.5201  4 Tb 3.63-3.99, 6 Ac 3.69-3.82
Ac 0.4220 0.5201 0.8090  4 Tb 3.63-3.99, 6 Ac 3.69-3.82
Ac 0.2712 0.1302 0.8316  5 Tb 3.61-3.92, 1 Nd 3.65, 5 Ac 3.73-3.95
Ac 0.1684 0.7288 0.8698  5 Tb 3.61-3.92, 1 Nd 3.65, 5 Ac 3.73-3.95
Ac 0.8698 0.1684 0.7288  5 Tb 3.61-3.92, 1 Nd 3.65, 5 Ac 3.73-3.95
Ac 0.7288 0.8698 0.1684  5 Tb 3.61-3.92, 1 Nd 3.65, 5 Ac 3.73-3.95
Ac 0.8316 0.2712 0.1302  5 Tb 3.61-3.92, 1 Nd 3.65, 5 Ac 3.73-3.95
Ac 0.1302 0.8316 0.2712  5 Tb 3.61-3.92, 1 Nd 3.65, 5 Ac 3.73-3.95
Tb 0.0741 0.1882 0.4651  9 Ac 3.61-3.99, 1 Tb 3.91
Tb 0.8118 0.5349 0.9259  9 Ac 3.61-3.99, 1 Tb 3.91
Tb 0.5349 0.9259 0.8118  9 Ac 3.61-3.99, 1 Tb 3.91
Tb 0.9259 0.8118 0.5349  9 Ac 3.61-3.99, 1 Tb 3.91
Tb 0.1882 0.4651 0.0741  9 Ac 3.61-3.99, 1 Tb 3.91
Tb 0.4651 0.0741 0.1882  9 Ac 3.61-3.99, 1 Tb 3.91
Nd 0.0000 0.0000 0.0000  6 Ac 3.65

Output
As for the energy of formation: 264 meV/atom.



| no. | mass density (Mg/m³) | VASP energy (eV/atom) | total magnetic moment (Bohr magnetons per cell) |
| --- | --- | --- | --- |
| 1 | 9.2 | -2.643 | 0.5 |
| 2 | 3.7 | -5.935 | 0.0 |
| 3 | 5.6 | -4.491 | 0.0 |
| 4 | 6.0 | -3.084 | 1.2 |
| 5 | 6.2 | -4.207 | 0.0 |
| 6 | 7.9 | -4.044 | 0.0 |